This record from the Alexandria database describes a relaxed structure of Hg2IrCl6. The functional is PBE-GGA.

Calculated values
The calculation puts the density of states at the Fermi level at 0.2684 states/eV per atom. The space group is C2/m (12). The calculation puts the total energy at -2.663 eV per atom.

Lattice parameters (Å, degrees): 6.7372 6.7372 10.5887 107.84 107.84 33.48
Element x y z (fractional)
Hg (0.1772, 0.1772, 0.3303)
Hg (0.8228, 0.8228, 0.6697)
Ir (0.5000, 0.5000, 0.0000)
Cl (0.1257, 0.1257, 0.0441)
Cl (0.1689, 0.1689, 0.5908)
Cl (0.4865, 0.4865, 0.7753)
Cl (0.5135, 0.5135, 0.2247)
Cl (0.8311, 0.8311, 0.4092)
Cl (0.8743, 0.8743, 0.9559)

This record from the Alexandria database describes a relaxed structure of Rb3BaCd. The functional is PBE-GGA.

Calculated values
The formation energy comes out at 0.174 eV per atom. The calculation puts the density of states at the Fermi level at 0.9318 states/eV per atom. The space group is Pm-3m (221).

Lattice parameters (Å, degrees): 7.2076 7.2076 7.2076 90.00 90.00 90.00
Element x y z (fractional)
Rb (0.0000, 0.0000, 0.5000)
Rb (0.0000, 0.5000, 0.0000)
Rb (0.5000, 0.0000, 0.0000)
Ba (0.5000, 0.5000, 0.5000)
Cd (0.0000, 0.0000, 0.0000)

This record from the Alexandria database describes a relaxed structure of Tl4Os5. The functional is PBE-GGA.

Calculated values
The formation energy comes out at 1.369 eV per atom. The calculation puts the density of states at the Fermi level at 1.0195 states/eV per atom. The space group is P6_3/mcm (193).

Lattice parameters (Å, degrees): 8.1952 8.1952 5.5625 90.00 90.00 120.00
Element x y z (fractional)
Tl (0.0000, 0.0000, 0.0000)
Tl (0.0000, 0.0000, 0.5000)
Tl (0.0000, 0.3568, 0.2500)
Tl (0.0000, 0.6432, 0.7500)
Tl (0.3568, 0.0000, 0.2500)
Tl (0.3568, 0.3568, 0.7500)
Tl (0.6432, 0.0000, 0.7500)
Tl (0.6432, 0.6432, 0.2500)
Os (0.0000, 0.3171, 0.7500)
Os (0.0000, 0.6829, 0.2500)
Os (0.3171, 0.0000, 0.7500)
Os (0.3171, 0.3171, 0.2500)
Os (0.3333, 0.6667, 0.0000)
Os (0.3333, 0.6667, 0.5000)
Os (0.6667, 0.3333, 0.0000)
Os (0.6667, 0.3333, 0.5000)
Os (0.6829, 0.0000, 0.2500)
Os (0.6829, 0.6829, 0.7500)

This record from the Alexandria database describes a relaxed structure of CsUSe4. The functional is PBE-GGA.

Calculated values
The calculation puts the density of states at the Fermi level at 0.5066 states/eV per atom. The space group is C2/m (12). The calculation puts the total energy at -5.219 eV per atom.

Lattice parameters (Å, degrees): 4.7574 4.7574 9.5380 94.16 94.16 70.66
Element x y z (fractional)
Cs (0.0000, 0.0000, 0.0000)
U (0.5000, 0.5000, 0.5000)
Se (0.1184, 0.1184, 0.4157)
Se (0.4106, 0.4106, 0.2277)
Se (0.5894, 0.5894, 0.7723)
Se (0.8816, 0.8816, 0.5843)